1.
This record from Alexandria via LeMat-Bulk describes a relaxed SrPW2 crystal. The functional is PBE-GGA. Values from VASP.

Geometry as Quantum ESPRESSO input:
```
&SYSTEM
  ibrav = 0, nat = 4, ntyp = 3
/
ATOMIC_SPECIES
Sr 87.62 Sr.upf
P 30.97 P.upf
W 183.84 W.upf
ATOMIC_POSITIONS crystal
Sr 0.000 0.000 0.000
P 0.500 0.500 0.000
W 0.000 0.500 0.000
W 0.500 0.000 0.000
CELL_PARAMETERS angstrom
2.878 -5.645 0.000
2.878 5.645 0.000
-1.260 0.000 2.400
```

Results
Total energy   -7.304 eV per atom
N(E_F)   4.3 states/eV/cell
Formation enthalpy at 0 K   3.78 eV per formula unit
SG   No. 12

***

2.
This record from Alexandria via LeMat-Bulk describes a relaxed NbTcRu2 crystal. The functional is PBE-GGA. Values from VASP.

Geometry as Quantum ESPRESSO input:
```
&SYSTEM
  ibrav = 0, nat = 8, ntyp = 3
/
ATOMIC_SPECIES
Nb 92.91 Nb.upf
Tc 98.00 Tc.upf
Ru 101.07 Ru.upf
ATOMIC_POSITIONS crystal
Nb 0.000 0.000 0.000
Nb 0.750 0.250 0.500
Tc 0.250 0.750 0.500
Tc 0.500 0.500 0.000
Ru 0.142 0.625 0.017
Ru 0.375 0.392 0.517
Ru 0.608 0.125 0.983
Ru 0.875 0.858 0.483
CELL_PARAMETERS angstrom
-1.916 1.916 8.965
1.916 -1.916 8.965
1.916 1.916 -8.965
```

Results
Total energy   -9.198 eV per atom
N(E_F)   7.6 states/eV/cell
Energy relative to the lowest polymorph listed for this composition   0.6175 eV/atom
Formation enthalpy at 0 K   2.19 eV per formula unit
SG   No. 122

***

3.
This record from Alexandria via LeMat-Bulk describes a relaxed NdSm2Lu crystal. The functional is PBE-GGA. Values from VASP.

Geometry as Quantum ESPRESSO input:
```
&SYSTEM
  ibrav = 0, nat = 4, ntyp = 3
/
ATOMIC_SPECIES
Nd 144.24 Nd.upf
Sm 150.36 Sm.upf
Lu 174.97 Lu.upf
ATOMIC_POSITIONS crystal
Nd 0.000 0.000 0.000
Sm 0.500 0.500 0.257
Sm 0.500 0.500 0.743
Lu 0.000 0.000 0.500
CELL_PARAMETERS angstrom
3.598 0.000 0.000
0.000 3.598 0.000
0.000 0.000 10.196
```

Results
Total energy   -4.656 eV per atom
N(E_F)   5.8 states/eV/cell
Energy relative to the lowest polymorph listed for this composition   0.0032 eV/atom
Formation enthalpy at 0 K   0.10 eV per formula unit
SG   No. 123

***

4.
This record from Alexandria via LeMat-Bulk describes a relaxed YCu2Tc2 crystal. The functional is PBE-GGA. Values from VASP.

Geometry as Quantum ESPRESSO input:
```
&SYSTEM
  ibrav = 0, nat = 5, ntyp = 3
/
ATOMIC_SPECIES
Y 88.91 Y.upf
Cu 63.55 Cu.upf
Tc 98.00 Tc.upf
ATOMIC_POSITIONS crystal
Y 0.000 0.000 0.000
Cu 0.250 0.750 0.500
Cu 0.750 0.250 0.500
Tc 0.392 0.392 0.000
Tc 0.608 0.608 0.000
CELL_PARAMETERS angstrom
-2.088 2.088 5.075
2.088 -2.088 5.075
2.088 2.088 -5.075
```

Results
Total energy   -6.893 eV per atom
N(E_F)   5.0 states/eV/cell
Energy relative to the lowest polymorph listed for this composition   0.0000 eV/atom
Formation enthalpy at 0 K   0.92 eV per formula unit
SG   No. 139